Arrangement P

La2PrI | PBE | relaxed

```
data_La2PrI
_chemical_formula_sum 'La6 Pr3 I3'
_space_group_name_H-M_alt 'R 3 m'
_space_group_IT_number 160
_space_group_name_Hall 'R 3 -2"'
_cell_length_a 3.9107
_cell_length_b 3.9107
_cell_length_c 33.0768
_cell_angle_alpha 90.00
_cell_angle_beta 90.00
_cell_angle_gamma 120.00
loop_
_atom_site_label
_atom_site_fract_x
_atom_site_fract_y
_atom_site_fract_z
La1 0.0000 0.0000 0.0000
La2 0.0000 0.0000 0.1785
Pr1 0.0000 0.0000 0.7559
I1 0.0000 0.0000 0.5897
```

Summary:
- D(E_F): 6.14 states/eV/f.u.

=====

Arrangement Q

La2PrI | PBE | relaxed

```
data_La2PrI
_chemical_formula_sum 'La2 Pr1 I1'
_space_group_name_H-M_alt 'P 4/m m m'
_space_group_IT_number 123
_space_group_name_Hall '-P 4 2'
_cell_length_a 3.782
_cell_length_b 3.782
_cell_length_c 9.946
_cell_angle_alpha 90.00
_cell_angle_beta 90.00
_cell_angle_gamma 90.00
loop_
_atom_site_label
_atom_site_fract_x
_atom_site_fract_y
_atom_site_fract_z
La1 0.000 0.000 0.240
Pr1 0.500 0.500 0.500
I1 0.500 0.500 0.000
```

Summary:
- D(E_F): 4.38 states/eV/f.u.

=====

Stability summary: most stable arrangement P, least stable arrangement Q.

=====

Arrangement P

LaPrSbI | PBE | relaxed

```
data_LaPrSbI
_chemical_formula_sum 'La1 Pr1 Sb1 I1'
_space_group_name_H-M_alt 'P 4/m m m'
_space_group_IT_number 123
_space_group_name_Hall '-P 4 2'
_cell_length_a 4.588
_cell_length_b 4.588
_cell_length_c 6.425
_cell_angle_alpha 90.00
_cell_angle_beta 90.00
_cell_angle_gamma 90.00
loop_
_atom_site_label
_atom_site_fract_x
_atom_site_fract_y
_atom_site_fract_z
La1 0.000 0.000 0.000
Pr1 0.500 0.500 0.500
Sb1 0.500 0.500 0.000
I1 0.000 0.000 0.500
```

Summary:
- D(E_F): 2.18 states/eV/f.u.

=====

Arrangement Q

LaPrSbI | PBE | relaxed

```
data_LaPrSbI
_chemical_formula_sum 'La4 Pr4 Sb4 I4'
_space_group_name_H-M_alt 'F -4 3 m'
_space_group_IT_number 216
_space_group_name_Hall 'F -4 2 3'
_cell_length_a 7.887
_cell_length_b 7.887
_cell_length_c 7.887
_cell_angle_alpha 90.00
_cell_angle_beta 90.00
_cell_angle_gamma 90.00
loop_
_atom_site_label
_atom_site_fract_x
_atom_site_fract_y
_atom_site_fract_z
La1 0.000 0.000 0.000
Pr1 0.000 0.000 0.500
Sb1 0.250 0.250 0.250
I1 0.250 0.250 0.750
```

Summary:
- D(E_F): 3.57 states/eV/f.u.

=====

Stability summary: most stable arrangement P, least stable arrangement Q.

=====

Arrangement P

La4Pt2I5 | PBE | relaxed

```
data_La4Pt2I5
_chemical_formula_sum 'La8 Pt4 I10'
_space_group_name_H-M_alt 'C 1 2/m 1'
_space_group_IT_number 12
_space_group_name_Hall '-C 2y'
_cell_length_a 24.868
_cell_length_b 4.245
_cell_length_c 8.918
_cell_angle_alpha 90.00
_cell_angle_beta 91.33
_cell_angle_gamma 90.00
loop_
_atom_site_label
_atom_site_fract_x
_atom_site_fract_y
_atom_site_fract_z
La1 0.012 0.000 0.200
La2 0.159 0.500 0.046
Pt1 0.054 0.500 0.986
I1 0.000 0.500 0.500
I2 0.144 0.000 0.321
I3 0.210 0.000 0.810
```

Summary:
- D(E_F): 7.99 states/eV/f.u.

=====

Arrangement Q

La4Pt2I5 | PBE | relaxed

```
data_La4Pt2I5
_chemical_formula_sum 'La8 Pt4 I10'
_space_group_name_H-M_alt 'I m m m'
_space_group_IT_number 71
_space_group_name_Hall '-I 2 2'
_cell_length_a 4.232
_cell_length_b 8.951
_cell_length_c 27.616
_cell_angle_alpha 90.00
_cell_angle_beta 90.00
_cell_angle_gamma 90.00
loop_
_atom_site_label
_atom_site_fract_x
_atom_site_fract_y
_atom_site_fract_z
La1 0.000 0.000 0.147
La2 0.000 0.304 0.500
Pt1 0.000 0.000 0.049
I1 0.000 0.247 0.326
I2 0.000 0.500 0.000
```

Summary:
- D(E_F): 7.55 states/eV/f.u.

=====

Stability summary: most stable arrangement P, least stable arrangement Q.

=====

Arrangement P

LaPt3I | PBE | relaxed

```
data_LaPt3I
_chemical_formula_sum 'La1 Pt3 I1'
_space_group_name_H-M_alt 'P m -3 m'
_space_group_IT_number 221
_space_group_name_Hall '-P 4 2 3'
_cell_length_a 5.288
_cell_length_b 5.288
_cell_length_c 5.288
_cell_angle_alpha 90.00
_cell_angle_beta 90.00
_cell_angle_gamma 90.00
loop_
_atom_site_label
_atom_site_fract_x
_atom_site_fract_y
_atom_site_fract_z
La1 0.000 0.000 0.000
Pt1 0.000 0.000 0.500
I1 0.500 0.500 0.500
```

Summary:
- D(E_F): 1.20 states/eV/f.u.

=====

Arrangement Q

LaPt3I | PBE | relaxed

```
data_LaPt3I
_chemical_formula_sum 'La1 Pt3 I1'
_space_group_name_H-M_alt 'P m -3 m'
_space_group_IT_number 221
_space_group_name_Hall '-P 4 2 3'
_cell_length_a 5.047
_cell_length_b 5.047
_cell_length_c 5.047
_cell_angle_alpha 90.00
_cell_angle_beta 90.00
_cell_angle_gamma 90.00
loop_
_atom_site_label
_atom_site_fract_x
_atom_site_fract_y
_atom_site_fract_z
La1 0.000 0.000 0.000
Pt1 0.000 0.500 0.500
I1 0.500 0.500 0.500
```

Summary:
- D(E_F): 3.33 states/eV/f.u.

=====

Stability summary: most stable arrangement Q, least stable arrangement P.

=====

Arrangement P

La2PtI2 | PBE | relaxed

```
data_La2PtI2
_chemical_formula_sum 'La6 Pt3 I6'
_space_group_name_H-M_alt 'R -3 m'
_space_group_IT_number 166
_space_group_name_Hall '-R 3 2"'
_cell_length_a 4.3431
_cell_length_b 4.3431
_cell_length_c 35.0574
_cell_angle_alpha 90.00
_cell_angle_beta 90.00
_cell_angle_gamma 120.00
loop_
_atom_site_label
_atom_site_fract_x
_atom_site_fract_y
_atom_site_fract_z
La1 0.0000 0.0000 0.1198
Pt1 0.0000 0.0000 0.5000
I1 0.0000 0.0000 0.3896
```

Summary:
- D(E_F): 2.78 states/eV/f.u.

=====

Arrangement Q

La2PtI2 | PBE | relaxed

```
data_La2PtI2
_chemical_formula_sum 'La4 Pt2 I4'
_space_group_name_H-M_alt 'I 4/m m m'
_space_group_IT_number 139
_space_group_name_Hall '-I 4 2'
_cell_length_a 4.723
_cell_length_b 4.723
_cell_length_c 15.031
_cell_angle_alpha 90.00
_cell_angle_beta 90.00
_cell_angle_gamma 90.00
loop_
_atom_site_label
_atom_site_fract_x
_atom_site_fract_y
_atom_site_fract_z
La1 0.000 0.000 0.101
Pt1 0.000 0.000 0.500
I1 0.000 0.500 0.250
```

Summary:
- D(E_F): 4.74 states/eV/f.u.

=====

Arrangement R

La2PtI2 | PBE | relaxed

```
data_La2PtI2
_chemical_formula_sum 'La4 Pt2 I4'
_space_group_name_H-M_alt 'P 4/m b m'
_space_group_IT_number 127
_space_group_name_Hall '-P 4 2ab'
_cell_length_a 8.651
_cell_length_b 8.651
_cell_length_c 3.989
_cell_angle_alpha 90.00
_cell_angle_beta 90.00
_cell_angle_gamma 90.00
loop_
_atom_site_label
_atom_site_fract_x
_atom_site_fract_y
_atom_site_fract_z
La1 0.167 0.333 0.000
Pt1 0.000 0.000 0.500
I1 0.135 0.635 0.500
```

Summary:
- D(E_F): 4.78 states/eV/f.u.

=====

Stability summary: most stable arrangement P, least stable arrangement Q.

=====

Arrangement P

La2PtI2 | PBE | relaxed

```
data_La2PtI2
_chemical_formula_sum 'La4 Pt2 I4'
_space_group_name_H-M_alt 'I 4/m m m'
_space_group_IT_number 139
_space_group_name_Hall '-I 4 2'
_cell_length_a 6.207
_cell_length_b 6.207
_cell_length_c 8.494
_cell_angle_alpha 90.00
_cell_angle_beta 90.00
_cell_angle_gamma 90.00
loop_
_atom_site_label
_atom_site_fract_x
_atom_site_fract_y
_atom_site_fract_z
La1 0.000 0.500 0.250
Pt1 0.000 0.000 0.000
I1 0.000 0.000 0.306
```

Summary:
- D(E_F): 6.11 states/eV/f.u.

=====

Arrangement Q

La2PtI2 | PBE | relaxed

```
data_La2PtI2
_chemical_formula_sum 'La4 Pt2 I4'
_space_group_name_H-M_alt 'P 4/m b m'
_space_group_IT_number 127
_space_group_name_Hall '-P 4 2ab'
_cell_length_a 7.874
_cell_length_b 7.874
_cell_length_c 5.287
_cell_angle_alpha 90.00
_cell_angle_beta 90.00
_cell_angle_gamma 90.00
loop_
_atom_site_label
_atom_site_fract_x
_atom_site_fract_y
_atom_site_fract_z
La1 0.171 0.329 0.000
Pt1 0.000 0.000 0.000
I1 0.159 0.659 0.500
```

Summary:
- D(E_F): 2.21 states/eV/f.u.

=====

Stability summary: most stable arrangement Q, least stable arrangement P.

=====

Arrangement P

LaSb2PtI | PBE | relaxed

```
data_LaSb2PtI
_chemical_formula_sum 'La1 Sb2 Pt1 I1'
_space_group_name_H-M_alt 'P 4/m m m'
_space_group_IT_number 123
_space_group_name_Hall '-P 4 2'
_cell_length_a 6.145
_cell_length_b 6.145
_cell_length_c 5.943
_cell_angle_alpha 90.00
_cell_angle_beta 90.00
_cell_angle_gamma 90.00
loop_
_atom_site_label
_atom_site_fract_x
_atom_site_fract_y
_atom_site_fract_z
La1 0.000 0.000 0.000
Sb1 0.000 0.500 0.000
Pt1 0.500 0.500 0.500
I1 0.000 0.000 0.500
```

Summary:
- D(E_F): 8.04 states/eV/f.u.

=====

Arrangement Q

LaSb2PtI | PBE | relaxed

```
data_LaSb2PtI
_chemical_formula_sum 'La1 Sb2 Pt1 I1'
_space_group_name_H-M_alt 'P 4/m m m'
_space_group_IT_number 123
_space_group_name_Hall '-P 4 2'
_cell_length_a 5.289
_cell_length_b 5.289
_cell_length_c 5.500
_cell_angle_alpha 90.00
_cell_angle_beta 90.00
_cell_angle_gamma 90.00
loop_
_atom_site_label
_atom_site_fract_x
_atom_site_fract_y
_atom_site_fract_z
La1 0.000 0.000 0.000
Sb1 0.000 0.500 0.500
Pt1 0.500 0.500 0.500
I1 0.500 0.500 0.000
```

Summary:
- D(E_F): 4.02 states/eV/f.u.

=====

Stability summary: most stable arrangement Q, least stable arrangement P.

=====

Arrangement P

RbLaI2 | PBE | relaxed

```
data_RbLaI2
_chemical_formula_sum 'Rb3 La3 I6'
_space_group_name_H-M_alt 'R -3 m'
_space_group_IT_number 166
_space_group_name_Hall '-R 3 2"'
_cell_length_a 4.2784
_cell_length_b 4.2784
_cell_length_c 29.5424
_cell_angle_alpha 90.00
_cell_angle_beta 90.00
_cell_angle_gamma 120.00
loop_
_atom_site_label
_atom_site_fract_x
_atom_site_fract_y
_atom_site_fract_z
Rb1 0.0000 0.0000 0.0000
La1 0.0000 0.0000 0.5000
I1 0.0000 0.0000 0.2431
```

Summary:
- D(E_F): 2.31 states/eV/f.u.

=====

Arrangement Q

RbLaI2 | PBE | relaxed

```
data_RbLaI2
_chemical_formula_sum 'Rb1 La1 I2'
_space_group_name_H-M_alt 'P 4/m m m'
_space_group_IT_number 123
_space_group_name_Hall '-P 4 2'
_cell_length_a 4.064
_cell_length_b 4.064
_cell_length_c 8.744
_cell_angle_alpha 90.00
_cell_angle_beta 90.00
_cell_angle_gamma 90.00
loop_
_atom_site_label
_atom_site_fract_x
_atom_site_fract_y
_atom_site_fract_z
Rb1 0.000 0.000 0.000
La1 0.000 0.000 0.500
I1 0.500 0.500 0.285
```

Summary:
- D(E_F): 2.20 states/eV/f.u.

=====

Stability summary: most stable arrangement P, least stable arrangement Q.